A relaxed La2ScNi crystal. Source: the Alexandria database, functional PBE-GGA.

Computed properties:
- Uncorrected energy: -5.62 eV per atom
- Magnetic moment: 0.000 μB/atom
- Energy above the most stable polymorph in this dataset: 0 meV per atom
- ΔH_f (0 K): -131 meV/atom
- Crystal system: tetragonal

Geometry as CIF:
```
data_La2ScNi
_chemical_formula_sum 'La2 Sc1 Ni1'
_cell_length_a 3.418
_cell_length_b 3.418
_cell_length_c 8.983
_cell_angle_alpha 90.00
_cell_angle_beta 90.00
_cell_angle_gamma 90.00
_symmetry_space_group_name_H-M 'P 1'
_symmetry_Int_Tables_number 1
loop_
_symmetry_equiv_pos_as_xyz
'x,y,z'
loop_
_atom_site_label
_atom_site_type_symbol
_atom_site_fract_x
_atom_site_fract_y
_atom_site_fract_z
La1 La 0.000 0.000 0.000
La2 La 0.500 0.500 0.346
Sc1 Sc 0.500 0.500 0.701
Ni1 Ni 0.000 0.000 0.560
```

A relaxed La2ScNi2 crystal. Source: the Alexandria database, functional PBE-GGA.

Computed properties:
- Uncorrected energy: -5.56 eV per atom
- Magnetic moment: 0.000 μB/atom
- Energy above the most stable polymorph in this dataset: 248 meV per atom
- ΔH_f (0 K): -13 meV/atom
- Crystal system: tetragonal

Geometry as CIF:
```
data_La2ScNi2
_chemical_formula_sum 'La4 Sc2 Ni4'
_cell_length_a 8.176
_cell_length_b 8.176
_cell_length_c 3.295
_cell_angle_alpha 90.00
_cell_angle_beta 90.00
_cell_angle_gamma 90.00
_symmetry_space_group_name_H-M 'P 1'
_symmetry_Int_Tables_number 1
loop_
_symmetry_equiv_pos_as_xyz
'x,y,z'
loop_
_atom_site_label
_atom_site_type_symbol
_atom_site_fract_x
_atom_site_fract_y
_atom_site_fract_z
La1 La 0.141 0.359 0.000
La2 La 0.359 0.859 0.000
La3 La 0.641 0.141 0.000
La4 La 0.859 0.641 0.000
Sc1 Sc 0.000 0.000 0.000
Sc2 Sc 0.500 0.500 0.000
Ni1 Ni 0.172 0.672 0.500
Ni2 Ni 0.328 0.172 0.500
Ni3 Ni 0.672 0.828 0.500
Ni4 Ni 0.828 0.328 0.500
```

A relaxed La2ScNi crystal. Source: the Alexandria database, functional PBE-GGA.

Computed properties:
- Uncorrected energy: -5.50 eV per atom
- Magnetic moment: 0.000 μB/atom
- Energy above the most stable polymorph in this dataset: 125 meV per atom
- ΔH_f (0 K): -6 meV/atom
- Crystal system: trigonal

Geometry as CIF:
```
data_La2ScNi
_chemical_formula_sum 'La2 Sc1 Ni1'
_cell_length_a 9.459
_cell_length_b 9.459
_cell_length_c 9.459
_cell_angle_alpha 22.83
_cell_angle_beta 22.83
_cell_angle_gamma 22.83
_symmetry_space_group_name_H-M 'P 1'
_symmetry_Int_Tables_number 1
loop_
_symmetry_equiv_pos_as_xyz
'x,y,z'
loop_
_atom_site_label
_atom_site_type_symbol
_atom_site_fract_x
_atom_site_fract_y
_atom_site_fract_z
La1 La 0.233 0.233 0.233
La2 La 0.767 0.767 0.767
Sc1 Sc 0.000 0.000 0.000
Ni1 Ni 0.500 0.500 0.500
```

A relaxed La2ScNi crystal. Source: the Alexandria database, functional PBE-GGA.

Computed properties:
- Uncorrected energy: -5.35 eV per atom
- Magnetic moment: 0.000 μB/atom
- Energy above the most stable polymorph in this dataset: 271 meV per atom
- ΔH_f (0 K): 140 meV/atom
- Crystal system: tetragonal

Geometry as CIF:
```
data_La2ScNi
_chemical_formula_sum 'La2 Sc1 Ni1'
_cell_length_a 6.169
_cell_length_b 6.169
_cell_length_c 6.169
_cell_angle_alpha 138.57
_cell_angle_beta 138.57
_cell_angle_gamma 60.03
_symmetry_space_group_name_H-M 'P 1'
_symmetry_Int_Tables_number 1
loop_
_symmetry_equiv_pos_as_xyz
'x,y,z'
loop_
_atom_site_label
_atom_site_type_symbol
_atom_site_fract_x
_atom_site_fract_y
_atom_site_fract_z
La1 La 0.000 0.000 0.000
La2 La 0.750 0.250 0.500
Sc1 Sc 0.500 0.500 0.000
Ni1 Ni 0.250 0.750 0.500
```

Q: Which value of uncorrected energy does entry 1 give?
A: -5.62 eV per atom